Entry 1:
The following is a DFT calculation (SCAN) of a PBEsol-optimized structure of KIn2Hg2.

Results
Density of states at the Fermi level: 4.17 states/eV/cell
DFT formation energy: -0.23 eV per atom
Distance to the lowest polymorph of the same formula: 0.0 meV per atom

Cell lengths 4.6481, 4.6481, 12.8562 Å; angles 90.00, 90.00, 90.00 degrees
Closest atoms and distances in Å follow each position.
Space group I4/mmm (No. 139)
One atom of each set of equivalent atoms:
K1 0.0000 0.0000 0.0000 (multiplicity 2)  8 Hg 3.57, 8 In 3.97
In1 0.0000 0.5000 0.2500 (multiplicity 4)  4 Hg 2.95, 4 In 3.29
Hg1 0.0000 0.0000 0.3907 (multiplicity 4)  1 Hg 2.81, 4 In 2.95



Entry 2:
The following is a DFT calculation (SCAN) of a PBEsol-optimized structure of KIn2Hg.

Results
Density of states at the Fermi level: 2.53 states/eV/cell
DFT formation energy: -0.18 eV per atom

Cell lengths 4.6359, 3.2561, 15.0612 Å; angles 90.00, 90.00, 90.00 degrees
Closest atoms and distances in Å follow each position.
Space group Amm2 (No. 38)
One atom of each set of equivalent atoms:
K1 0.0000 0.0000 0.0000 (multiplicity 2)  2 K 3.26, 4 Hg 3.44
In1 0.0000 0.0000 0.7484 (multiplicity 2)  2 Hg 2.92, 6 In 3.18-3.26
In2 0.5000 0.0000 0.3446 (multiplicity 2)  6 In 3.18-3.26
Hg1 0.5000 0.0000 0.6300 (multiplicity 2)  2 In 2.92, 2 Hg 3.26



Entry 3:
The following is a DFT calculation (SCAN) of a PBEsol-optimized structure of KInHg2.

Results
Density of states at the Fermi level: 1.57 states/eV/cell
DFT formation energy: -0.17 eV per atom

Cell lengths 3.3736, 4.2452, 7.7788 Å; angles 90.00, 90.00, 90.00 degrees
Closest atoms and distances in Å follow each position.
Space group Pmm2 (No. 25)
One atom of each set of equivalent atoms:
K1 0.0000 0.0000 0.0000 (multiplicity 1)  2 K 3.37, 4 Hg 3.45, 4 In 3.68
In1 0.5000 0.5000 0.6796 (multiplicity 1)  5 Hg 3.08-3.15, 2 In 3.37
Hg1 0.0000 0.0000 0.4925 (multiplicity 1)  4 In 3.08, 6 Hg 3.20-3.37
Hg2 0.5000 0.5000 0.2745 (multiplicity 1)  1 In 3.15, 6 Hg 3.20-3.37, 4 K 3.45